TbCo5P3: relaxed, GGA-PBE.

abc: 11.7360 3.6511 10.2961
angles: 90.00 90.00 90.00
Fractional positions:
1 Tb 0.2024 0.2500 0.0831
2 Tb 0.2976 0.7500 0.5831
3 Tb 0.7024 0.2500 0.4169
4 Tb 0.7976 0.7500 0.9169
5 Co 0.0085 0.7500 0.7160
6 Co 0.0117 0.7500 0.0934
7 Co 0.0680 0.7500 0.4680
8 Co 0.1760 0.2500 0.7789
9 Co 0.1982 0.2500 0.3827
10 Co 0.3018 0.7500 0.8827
11 Co 0.3240 0.7500 0.2789
12 Co 0.4320 0.2500 0.9680
13 Co 0.4883 0.2500 0.5934
14 Co 0.4915 0.2500 0.2160
15 Co 0.5085 0.7500 0.7840
16 Co 0.5117 0.7500 0.4066
17 Co 0.5680 0.7500 0.0320
18 Co 0.6760 0.2500 0.7211
19 Co 0.6982 0.2500 0.1173
20 Co 0.8018 0.7500 0.6173
21 Co 0.8240 0.7500 0.2211
22 Co 0.9320 0.2500 0.5320
23 Co 0.9883 0.2500 0.9066
24 Co 0.9915 0.2500 0.2840
25 P 0.1086 0.7500 0.8975
26 P 0.1120 0.2500 0.5816
27 P 0.1300 0.7500 0.2716
28 P 0.3700 0.2500 0.7716
29 P 0.3880 0.7500 0.0816
30 P 0.3914 0.2500 0.3975
31 P 0.6086 0.7500 0.6025
32 P 0.6120 0.2500 0.9184
33 P 0.6300 0.7500 0.2284
34 P 0.8700 0.2500 0.7284
35 P 0.8880 0.7500 0.4184
36 P 0.8914 0.2500 0.1025

Calculated values
Formation enthalpy at 0 K   -0.838 eV per atom
M_tot   5.1 μB per cell
Total energy   -7.103 eV/atom
Energy relative to the lowest polymorph listed for this composition   0 meV/atom